(1)
This record from Alexandria via LeMat-Bulk describes a relaxed SrY2 crystal. The functional is PBEsol.

Values from the calculation:
Formation energy from the elements in meV/atom: 251
E in eV/atom: -4.9101
N(E_F) in states/eV/f.u.: 5.7
Size of the total moment in μB per cell: 0.00
Offset from the most stable computed form in meV/atom: 115

Unit cell a=6.8450 b=6.8450 c=6.8450 alpha=60.00 beta=60.00 gamma=60.00
Positions (direct):
Sr  0.5000  0.5000  0.5000
Sr  0.7500  0.7500  0.7500
Y  0.1250  0.1250  0.1250
Y  0.1250  0.1250  0.6250
Y  0.1250  0.6250  0.1250
Y  0.6250  0.1250  0.1250

***

(2)
This record from Alexandria via LeMat-Bulk describes a relaxed Sr3Y crystal. The functional is PBEsol.

Values from the calculation:
Formation energy from the elements in meV/atom: 149
E in eV/atom: -2.9372
N(E_F) in states/eV/f.u.: 4.5
Size of the total moment in μB per cell: 0.00

Unit cell a=3.8311 b=3.8311 c=12.5898 alpha=90.00 beta=90.00 gamma=110.09
Positions (direct):
Sr  0.0000  0.0000  0.2678
Sr  0.5000  0.5000  0.0000
Sr  0.0000  0.0000  0.7322
Y  0.5000  0.5000  0.5000

***

(3)
This record from Alexandria via LeMat-Bulk describes a relaxed SrY crystal. The functional is PBEsol.

Values from the calculation:
Formation energy from the elements in meV/atom: 246
E in eV/atom: -4.0857
N(E_F) in states/eV/f.u.: 3.7
Size of the total moment in μB per cell: 0.83

Unit cell a=3.7312 b=6.0407 c=6.8153 alpha=90.00 beta=90.00 gamma=90.00
Positions (direct):
Sr  0.0000  0.2500  0.3335
Sr  0.0000  0.7500  0.6665
Y  0.5000  0.2500  0.8576
Y  0.5000  0.7500  0.1424

***

(4)
This record from Alexandria via LeMat-Bulk describes a relaxed SrY8 crystal. The functional is PBEsol.

Values from the calculation:
Formation energy from the elements in meV/atom: 87
E in eV/atom: -6.1817
N(E_F) in states/eV/f.u.: 13.4
Size of the total moment in μB per cell: 0.00

Unit cell a=5.0367 b=7.9679 c=7.9679 alpha=84.27 beta=71.58 gamma=71.58
Positions (direct):
Sr  0.0000  0.0000  0.0000
Y  0.3260  0.0000  0.3479
Y  0.6740  0.0000  0.6521
Y  0.6601  0.3399  0.3399
Y  0.3260  0.3479  0.0000
Y  0.0000  0.3399  0.6601
Y  0.6740  0.6521  0.0000
Y  0.3399  0.6601  0.6601
Y  0.0000  0.6601  0.3399

***

(5)
This record from Alexandria via LeMat-Bulk describes a relaxed SrY2 crystal. The functional is PBEsol.

Values from the calculation:
Formation energy from the elements in meV/atom: 136
E in eV/atom: -5.0251
N(E_F) in states/eV/f.u.: 5.5
Size of the total moment in μB per cell: 0.00
Offset from the most stable computed form in meV/atom: 0

Unit cell a=3.6605 b=5.7865 c=10.2755 alpha=90.00 beta=100.26 gamma=90.00
Positions (direct):
Sr  0.7884  0.7500  0.5769
Sr  0.2116  0.2500  0.4231
Y  0.1002  0.7500  0.2003
Y  0.4537  0.7500  0.9074
Y  0.5463  0.2500  0.0926
Y  0.8998  0.2500  0.7997

***

(6)
This record from Alexandria via LeMat-Bulk describes a relaxed SrY2 crystal. The functional is PBEsol.

Values from the calculation:
Formation energy from the elements in meV/atom: 215
E in eV/atom: -4.9467
N(E_F) in states/eV/f.u.: 5.9
Size of the total moment in μB per cell: 0.00
Offset from the most stable computed form in meV/atom: 78

Unit cell a=3.6198 b=5.1728 c=6.4510 alpha=113.64 beta=106.29 gamma=90.00
Positions (direct):
Sr  0.0000  0.0000  0.0000
Y  0.6757  0.6757  0.3514
Y  0.3243  0.3243  0.6486

***

(7)
This record from Alexandria via LeMat-Bulk describes a relaxed SrYZn crystal. The functional is PBEsol.

Values from the calculation:
Formation energy from the elements in meV/atom: 157
E in eV/atom: -3.2576
N(E_F) in states/eV/f.u.: 4.0
Size of the total moment in μB per cell: 0.00

Unit cell a=5.1237 b=5.1237 c=5.1237 alpha=60.00 beta=60.00 gamma=60.00
Positions (direct):
Sr  0.0000  0.0000  0.0000
Y  0.5000  0.5000  0.5000
Zn  0.2500  0.2500  0.2500

***

(8)
This record from Alexandria via LeMat-Bulk describes a relaxed Sr2YZn2 crystal. The functional is PBEsol.

Values from the calculation:
Formation energy from the elements in meV/atom: 166
E in eV/atom: -2.5677
N(E_F) in states/eV/f.u.: 6.7
Size of the total moment in μB per cell: 0.89

Unit cell a=4.8510 b=4.8510 c=7.2394 alpha=109.57 beta=109.57 gamma=90.00
Positions (direct):
Y  0.0000  0.0000  0.0000
Sr  0.2500  0.7500  0.5000
Sr  0.7500  0.2500  0.5000
Zn  0.4088  0.4088  0.8176
Zn  0.5912  0.5912  0.1824

***

(9)
This record from Alexandria via LeMat-Bulk describes a relaxed SrY3Zn crystal. The functional is PBEsol.

Values from the calculation:
Formation energy from the elements in meV/atom: 137
E in eV/atom: -4.6412
N(E_F) in states/eV/f.u.: 7.0
Size of the total moment in μB per cell: 0.00

Unit cell a=5.5177 b=5.5177 c=5.5177 alpha=90.00 beta=90.00 gamma=90.00
Positions (direct):
Y  0.0000  0.5000  0.0000
Y  0.0000  0.0000  0.5000
Y  0.5000  0.0000  0.0000
Sr  0.5000  0.5000  0.5000
Zn  0.0000  0.0000  0.0000

***

(10)
This record from Alexandria via LeMat-Bulk describes a relaxed SrYZn2 crystal. The functional is PBEsol.

Values from the calculation:
Formation energy from the elements in meV/atom: -249
E in eV/atom: -3.2056
N(E_F) in states/eV/f.u.: 3.0
Size of the total moment in μB per cell: 0.00

Unit cell a=3.6704 b=3.6703 c=7.2795 alpha=90.00 beta=90.00 gamma=90.00
Positions (direct):
Y  0.5000  0.5000  0.0000
Sr  0.5000  0.5000  0.5000
Zn  0.0000  0.0000  0.2091
Zn  0.0000  0.0000  0.7909

***

(11)
This record from Alexandria via LeMat-Bulk describes a relaxed SrYZn2 crystal. The functional is PBEsol.

Values from the calculation:
Formation energy from the elements in meV/atom: -110
E in eV/atom: -3.0669
N(E_F) in states/eV/f.u.: 1.9
Size of the total moment in μB per cell: 0.00

Unit cell a=3.4948 b=5.1583 c=6.1229 alpha=114.91 beta=106.58 gamma=90.00
Positions (direct):
Sr  0.5212  0.5212  0.0424
Y  0.7189  0.2189  0.4378
Zn  0.9692  0.9692  0.9384
Zn  0.2907  0.7907  0.5813

***

(12)
This record from Alexandria via LeMat-Bulk describes a relaxed SrYZr3 crystal. The functional is PBEsol.

Values from the calculation:
Formation energy from the elements in meV/atom: 1447
E in eV/atom: -5.7392
N(E_F) in states/eV/f.u.: 10.2
Size of the total moment in μB per cell: 0.00

Unit cell a=5.1622 b=5.1622 c=5.1622 alpha=90.00 beta=90.00 gamma=90.00
Positions (direct):
Y  0.5000  0.5000  0.5000
Sr  0.0000  0.0000  0.0000
Zr  0.0000  0.5000  0.0000
Zr  0.0000  0.0000  0.5000
Zr  0.5000  0.0000  0.0000

***

(13)
This record from Alexandria via LeMat-Bulk describes a relaxed Sr3Zn crystal. The functional is PBEsol.

Values from the calculation:
Formation energy from the elements in meV/atom: 10
E in eV/atom: -1.7654
N(E_F) in states/eV/f.u.: 3.5
Size of the total moment in μB per cell: 0.00

Unit cell a=4.1749 b=4.1749 c=11.2402 alpha=90.00 beta=90.00 gamma=120.00
Positions (direct):
Sr  0.0000  0.0000  0.3118
Sr  0.0000  0.0000  0.6882
Sr  0.3333  0.6667  0.0000
Zn  0.3333  0.6667  0.5000

***

(14)
This record from Alexandria via LeMat-Bulk describes a relaxed SrZn2 crystal. The functional is PBEsol.

Values from the calculation:
Formation energy from the elements in meV/atom: -204
E in eV/atom: -1.8722
N(E_F) in states/eV/f.u.: 1.9
Size of the total moment in μB per cell: 0.00

Unit cell a=4.3173 b=4.3173 c=8.3901 alpha=104.93 beta=104.93 gamma=90.01
Positions (direct):
Sr  0.2500  0.7500  0.5000
Sr  0.0000  0.0000  0.0000
Zn  0.8326  0.3327  0.6653
Zn  0.4174  0.4173  0.8347
Zn  0.6673  0.1674  0.3347
Zn  0.5827  0.5826  0.1653

***

(15)
This record from Alexandria via LeMat-Bulk describes a relaxed SrZn2 crystal. The functional is PBEsol.

Values from the calculation:
Formation energy from the elements in meV/atom: -122
E in eV/atom: -1.7897
N(E_F) in states/eV/f.u.: 1.8
Size of the total moment in μB per cell: 0.00

Unit cell a=4.3959 b=6.0044 c=6.4200 alpha=106.41 beta=90.00 gamma=111.47
Positions (direct):
Sr  0.9667  0.9334  0.9633
Sr  0.3252  0.6504  0.3898
Zn  0.6348  0.2696  0.7615
Zn  0.5988  0.1976  0.3398
Zn  0.0617  0.1234  0.5142
Zn  0.2461  0.4922  0.8647

***

(16)
This record from Alexandria via LeMat-Bulk describes a relaxed SrZn crystal. The functional is PBEsol.

Values from the calculation:
Formation energy from the elements in meV/atom: -99
E in eV/atom: -1.8100
N(E_F) in states/eV/f.u.: 1.7
Size of the total moment in μB per cell: 0.00

Unit cell a=4.3670 b=6.2130 c=8.3201 alpha=68.38 beta=74.79 gamma=69.42
Positions (direct):
Sr  0.1060  0.8373  0.9506
Sr  0.2790  0.1306  0.3114
Sr  0.4615  0.4152  0.6618
Zn  0.7576  0.8545  0.6304
Zn  0.9781  0.6765  0.3673
Zn  0.5844  0.5859  0.2452

***

(17)
This record from Alexandria via LeMat-Bulk describes a relaxed SrZn crystal. The functional is PBEsol.

Values from the calculation:
Formation energy from the elements in meV/atom: -95
E in eV/atom: -1.8057
N(E_F) in states/eV/f.u.: 1.5
Size of the total moment in μB per cell: 0.00

Unit cell a=3.7222 b=5.3938 c=6.3730 alpha=115.26 beta=106.98 gamma=90.00
Positions (direct):
Sr  0.0983  0.3491  0.1966
Sr  0.9017  0.6509  0.8034
Zn  0.3310  0.0796  0.6620
Zn  0.6690  0.9204  0.3380

***

(18)
This record from Alexandria via LeMat-Bulk describes a relaxed SrZn2 crystal. The functional is PBEsol.

Values from the calculation:
Formation energy from the elements in meV/atom: -183
E in eV/atom: -1.8513
N(E_F) in states/eV/f.u.: 1.8
Size of the total moment in μB per cell: 0.00

Unit cell a=5.7626 b=5.7626 c=8.9008 alpha=90.00 beta=90.00 gamma=120.00
Positions (direct):
Sr  0.6667  0.3333  0.9469
Sr  0.3333  0.6667  0.4469
Sr  0.3333  0.6667  0.0531
Sr  0.6667  0.3333  0.5531
Zn  0.0000  0.0000  0.0000
Zn  0.0000  0.0000  0.5000
Zn  0.1567  0.8433  0.7500
Zn  0.8433  0.1567  0.2500
Zn  0.6865  0.8433  0.7500
Zn  0.1567  0.3135  0.7500
Zn  0.8433  0.6865  0.2500
Zn  0.3135  0.1567  0.2500

***

(19)
This record from Alexandria via LeMat-Bulk describes a relaxed SrZn2 crystal. The functional is PBEsol.

Values from the calculation:
Formation energy from the elements in meV/atom: -217
E in eV/atom: -1.8855
N(E_F) in states/eV/f.u.: 1.7
Size of the total moment in μB per cell: 0.00

Unit cell a=4.6880 b=5.8562 c=5.8562 alpha=81.02 beta=66.41 gamma=66.41
Positions (direct):
Sr  0.0559  0.6941  0.1941
Sr  0.9441  0.3059  0.8059
Zn  0.3370  0.7338  0.5922
Zn  0.3370  0.0922  0.2338
Zn  0.6630  0.9078  0.7662
Zn  0.6630  0.2662  0.4078

***

(20)
This record from Alexandria via LeMat-Bulk describes a relaxed SrZn5 crystal. The functional is PBEsol.

Values from the calculation:
Formation energy from the elements in meV/atom: -222
E in eV/atom: -1.8474
N(E_F) in states/eV/f.u.: 2.5
Size of the total moment in μB per cell: 0.00

Unit cell a=5.2218 b=6.5545 c=12.8412 alpha=90.00 beta=90.00 gamma=90.00
Positions (direct):
Sr  0.2500  0.6429  0.9115
Sr  0.2500  0.8571  0.4115
Sr  0.7500  0.3571  0.0885
Sr  0.7500  0.1429  0.5885
Zn  0.2500  0.3382  0.7140
Zn  0.2500  0.1618  0.2140
Zn  0.7500  0.6618  0.2860
Zn  0.7500  0.8382  0.7860
Zn  0.2500  0.9531  0.7067
Zn  0.2500  0.5469  0.2067
Zn  0.7500  0.0469  0.2933
Zn  0.7500  0.4531  0.7933
Zn  0.0003  0.1504  0.8562
Zn  0.4997  0.3496  0.3562
Zn  0.5003  0.8496  0.1438
Zn  0.9997  0.6504  0.6438
Zn  0.9997  0.8496  0.1438
Zn  0.5003  0.6504  0.6438
Zn  0.4997  0.1504  0.8562
Zn  0.0003  0.3496  0.3562
Zn  0.2500  0.4040  0.5206
Zn  0.2500  0.0960  0.0206
Zn  0.7500  0.5960  0.4794
Zn  0.7500  0.9040  0.9794